# 1
This record from the Alexandria database describes crystalline CeGaNiH2 at its relaxed geometry. The functional is PBE-GGA.

Cell lengths 5.6384, 5.6384, 5.8779 Å; angles 90.00, 90.00, 138.99 degrees
Closest atoms and distances in Å follow each position.
Element x y z (fractional)
Ce1 0.2037 0.7963 0.7500  6 H 2.34-2.35
Ce2 0.7963 0.2037 0.2500  6 H 2.34-2.35
Ga1 0.0768 0.9232 0.2500  4 Ni 2.59, 4 H 2.77
Ga2 0.9232 0.0768 0.7500  4 Ni 2.59, 4 H 2.77
Ni1 0.5000 0.5000 0.0000  2 H 1.64
Ni2 0.5000 0.5000 0.5000  2 H 1.64
H1 0.3474 0.6526 0.0524  1 Ni 1.64
H2 0.3474 0.6526 0.4476  1 Ni 1.64
H3 0.6526 0.3474 0.5524  1 Ni 1.64
H4 0.6526 0.3474 0.9476  1 Ni 1.64

- Uncorrected energy: -4.774 eV per atom
- Symmetry: Cmcm, No. 63

# 2
This record from the Alexandria database describes crystalline Nd4SmY6 at its relaxed geometry. The functional is PBE-GGA.

Cell lengths 5.6782, 5.6782, 26.1229 Å; angles 90.00, 90.00, 118.35 degrees
Closest atoms and distances in Å follow each position.
Element x y z (fractional)
Nd1 0.0308 0.9692 0.6221  6 Y 3.20-3.54
Nd2 0.0308 0.9692 0.8779  6 Y 3.20-3.54
Nd3 0.3434 0.6566 0.5442  8 Y 3.48-3.89, 2 Nd 3.67-3.83
Nd4 0.3434 0.6566 0.9558  8 Y 3.48-3.89, 2 Nd 3.67-3.83
Nd5 0.6566 0.3434 0.0442  8 Y 3.48-3.89, 2 Nd 3.67-3.83
Nd6 0.6566 0.3434 0.4558  8 Y 3.48-3.89, 2 Nd 3.67-3.83
Nd7 0.9692 0.0308 0.1221  6 Y 3.20-3.54
Nd8 0.9692 0.0308 0.3779  6 Y 3.20-3.54
Sm1 0.3163 0.6837 0.2500  3 Y 3.26-3.33
Sm2 0.6837 0.3163 0.7500  3 Y 3.26-3.33
Y1 0.0000 0.0000 0.0000  8 Nd 3.20-3.54
Y2 0.0000 0.0000 0.5000  8 Nd 3.20-3.54
Y3 0.0180 0.9820 0.7500  3 Sm 3.26-3.33, 2 Nd 3.34
Y4 0.3102 0.6898 0.1043  6 Nd 3.33-3.73
Y5 0.3102 0.6898 0.3957  6 Nd 3.33-3.73
Y6 0.3560 0.6440 0.6823  7 Y 3.54-3.90, 4 Nd 3.54-3.72, 3 Sm 3.65-3.80
Y7 0.3560 0.6440 0.8177  7 Y 3.54-3.90, 4 Nd 3.54-3.72, 3 Sm 3.65-3.80
Y8 0.6440 0.3560 0.1823  7 Y 3.54-3.90, 4 Nd 3.54-3.72, 3 Sm 3.65-3.80
Y9 0.6440 0.3560 0.3177  7 Y 3.54-3.90, 4 Nd 3.54-3.72, 3 Sm 3.65-3.80
Y10 0.6898 0.3102 0.6043  6 Nd 3.33-3.73
Y11 0.6898 0.3102 0.8957  6 Nd 3.33-3.73
Y12 0.9820 0.0180 0.2500  3 Sm 3.26-3.33, 2 Nd 3.34

- Uncorrected energy: -5.580 eV per atom
- Symmetry: Cmcm, No. 63
- Polymorph energy (0 for the lowest one): 0 meV/atom
- DFT formation energy: 0.109 eV per atom

# 3
This record from the Alexandria database describes crystalline Rb3ErAg2Br8 at its relaxed geometry. The functional is PBE-GGA.

Cell lengths 7.8402, 7.8402, 10.2582 Å; angles 90.00, 90.00, 120.00 degrees
Closest atoms and distances in Å follow each position.
Element x y z (fractional)
Rb1 0.0000 0.0000 0.0000  12 Br 4.13-4.57
Rb2 0.3333 0.6667 0.6166  4 Br 3.28-3.66
Rb3 0.6667 0.3333 0.3834  4 Br 3.28-3.66
Er1 0.0000 0.0000 0.5000  6 Br 2.77
Ag1 0.3333 0.6667 0.1818  4 Br 2.52-2.81
Ag2 0.6667 0.3333 0.8182  4 Br 2.52-2.81
Br1 0.1639 0.3279 0.3394  1 Er 2.77, 1 Ag 2.81
Br2 0.1639 0.8361 0.3394  1 Er 2.77, 1 Ag 2.81
Br3 0.3279 0.1639 0.6606  1 Er 2.77, 1 Ag 2.81
Br4 0.3333 0.6667 0.9359  1 Ag 2.52
Br5 0.6667 0.3333 0.0641  1 Ag 2.52
Br6 0.6721 0.8361 0.3394  1 Er 2.77, 1 Ag 2.81
Br7 0.8361 0.1639 0.6606  1 Er 2.77, 1 Ag 2.81
Br8 0.8361 0.6721 0.6606  1 Er 2.77, 1 Ag 2.81

- Uncorrected energy: -3.239 eV per atom
- Symmetry: P-3m1, No. 164
- ΔE_f (raw): -1.342 eV per atom

# 4
This record from the Alexandria database describes crystalline Tb3SmHoEr at its relaxed geometry. The functional is PBE-GGA.

Cell lengths 7.9492, 7.9492, 10.0661 Å; angles 90.00, 90.00, 143.16 degrees
Closest atoms and distances in Å follow each position.
Element x y z (fractional)
Tb1 0.1667 0.8333 0.0001  5 Tb 3.55-3.56, 3 Er 3.55-3.56, 2 Ho 3.55, 2 Sm 3.55-3.56
Tb2 0.1667 0.8333 0.4999  5 Tb 3.55-3.56, 3 Er 3.55-3.56, 2 Ho 3.55, 2 Sm 3.55-3.56
Tb3 0.3325 0.6675 0.7500  2 Er 3.54, 6 Tb 3.55-3.56, 2 Ho 3.57, 2 Sm 3.57
Tb4 0.6675 0.3325 0.2500  2 Er 3.54, 6 Tb 3.55-3.56, 2 Ho 3.57, 2 Sm 3.57
Tb5 0.8333 0.1667 0.9999  5 Tb 3.55-3.56, 3 Er 3.55-3.56, 2 Ho 3.55, 2 Sm 3.55-3.56
Tb6 0.8333 0.1667 0.5001  5 Tb 3.55-3.56, 3 Er 3.55-3.56, 2 Ho 3.55, 2 Sm 3.55-3.56
Sm1 0.9997 0.0003 0.2500  6 Tb 3.55-3.57, 2 Er 3.55, 4 Ho 3.56
Sm2 0.0003 0.9997 0.7500  6 Tb 3.55-3.57, 2 Er 3.55, 4 Ho 3.56
Ho1 0.5000 0.5000 0.0000  6 Tb 3.55-3.57, 4 Sm 3.56, 2 Er 3.56
Ho2 0.5000 0.5000 0.5000  6 Tb 3.55-3.57, 4 Sm 3.56, 2 Er 3.56
Er1 0.3329 0.6671 0.2500  8 Tb 3.54-3.56, 2 Sm 3.55, 2 Ho 3.56
Er2 0.6671 0.3329 0.7500  8 Tb 3.54-3.56, 2 Sm 3.55, 2 Ho 3.56

- Uncorrected energy: -4.607 eV per atom
- Symmetry: Cmcm, No. 63
- DFT formation energy: 0.018 eV per atom

# 5
This record from the Alexandria database describes crystalline PuMg2Bi at its relaxed geometry. The functional is PBE-GGA.

Cell lengths 4.5693, 4.5693, 5.0174 Å; angles 90.00, 90.00, 90.00 degrees
Closest atoms and distances in Å follow each position.
Element x y z (fractional)
Pu1 0.0000 0.0000 0.0000  4 Bi 3.23, 8 Mg 3.39
Mg1 0.0000 0.5000 0.5000  4 Mg 3.23, 4 Bi 3.39, 4 Pu 3.39
Mg2 0.5000 0.0000 0.5000  4 Mg 3.23, 4 Bi 3.39, 4 Pu 3.39
Bi1 0.5000 0.5000 0.0000  4 Pu 3.23, 8 Mg 3.39

- Uncorrected energy: -5.527 eV per atom
- Symmetry: P4/mmm, No. 123
- Polymorph energy (0 for the lowest one): 0 meV/atom
- DFT formation energy: -0.177 eV per atom

# 6
This record from the Alexandria database describes crystalline Ba2NaTl7Pb2 at its relaxed geometry. The functional is PBE-GGA.

Cell lengths 4.9334, 4.9334, 16.9089 Å; angles 94.63, 94.63, 88.85 degrees
Closest atoms and distances in Å follow each position.
Element x y z (fractional)
Ba1 0.0994 0.0994 0.3372  2 Tl 3.52-3.74, 4 Pb 3.61-3.70
Ba2 0.9006 0.9006 0.6628  2 Tl 3.52-3.74, 4 Pb 3.61-3.70
Na1 0.0000 0.0000 0.0000  12 Tl 3.45-3.52
Tl1 0.0414 0.5433 0.1471  2 Pb 3.26-3.28, 6 Tl 3.44-3.52, 2 Na 3.48-3.50
Tl2 0.3040 0.3040 0.5370  1 Tl 3.16, 1 Pb 3.20, 1 Ba 3.52
Tl3 0.4567 0.9586 0.8529  2 Pb 3.26-3.28, 6 Tl 3.44-3.52, 2 Na 3.48-3.50
Tl4 0.5000 0.5000 0.0000  4 Na 3.45-3.52, 8 Tl 3.49-3.50
Tl5 0.5433 0.0414 0.1471  2 Pb 3.26-3.28, 6 Tl 3.44-3.52, 2 Na 3.48-3.50
Tl6 0.6960 0.6960 0.4630  1 Tl 3.16, 1 Pb 3.20, 1 Ba 3.52
Tl7 0.9586 0.4567 0.8529  2 Pb 3.26-3.28, 6 Tl 3.44-3.52, 2 Na 3.48-3.50
Pb1 0.4214 0.4214 0.7254  5 Tl 3.20-3.28
Pb2 0.5786 0.5786 0.2746  5 Tl 3.20-3.28

- Uncorrected energy: -2.637 eV per atom
- Symmetry: C2/m, No. 12
- DFT formation energy: -0.208 eV per atom

# 7
This record from the Alexandria database describes crystalline TaAs2O at its relaxed geometry. The functional is PBE-GGA.

Cell lengths 5.8290, 5.8290, 5.8290 Å; angles 118.87, 118.87, 91.97 degrees
Closest atoms and distances in Å follow each position.
Element x y z (fractional)
Ta1 0.0000 0.0000 0.0000  4 As 2.54
Ta2 0.7500 0.2500 0.5000  4 As 2.54
As1 0.1792 0.6250 0.0542  2 O 2.14
As2 0.3750 0.4292 0.5542  2 O 2.14
As3 0.5708 0.1250 0.9458  2 O 2.14
As4 0.8750 0.8208 0.4458  2 O 2.14
O1 0.2500 0.7500 0.5000  4 As 2.14
O2 0.5000 0.5000 0.0000  4 As 2.14

- Uncorrected energy: -6.297 eV per atom
- Symmetry: I-42d, No. 122
- ΔE_f (raw): 0.231 eV per atom

# 8
This record from the Alexandria database describes crystalline PuInPdRu at its relaxed geometry. The functional is PBE-GGA.

Cell lengths 4.7553, 4.7553, 4.7553 Å; angles 60.00, 60.00, 60.00 degrees
Closest atoms and distances in Å follow each position.
Element x y z (fractional)
Pu1 0.0000 0.0000 0.0000  4 Ru 2.91, 4 Pd 2.91
In1 0.5000 0.5000 0.5000  4 Ru 2.91, 4 Pd 2.91
Pd1 0.2500 0.2500 0.2500  4 In 2.91, 4 Pu 2.91
Ru1 0.7500 0.7500 0.7500  4 In 2.91, 4 Pu 2.91

- Uncorrected energy: -8.151 eV per atom
- Symmetry: F-43m, No. 216
- DFT formation energy: -0.267 eV per atom

# 9
This record from the Alexandria database describes crystalline GdY2Cd at its relaxed geometry. The functional is PBE-GGA.

Cell lengths 11.0340, 11.0340, 11.0340 Å; angles 18.74, 18.74, 18.74 degrees
Closest atoms and distances in Å follow each position.
Element x y z (fractional)
Gd1 0.0000 0.0000 0.0000  6 Y 3.58, 6 Gd 3.59
Y1 0.2436 0.2436 0.2436  3 Cd 3.25, 3 Gd 3.58, 6 Y 3.59
Y2 0.7564 0.7564 0.7564  3 Cd 3.25, 3 Gd 3.58, 6 Y 3.59
Cd1 0.5000 0.5000 0.5000  6 Y 3.25, 6 Cd 3.59

- Uncorrected energy: -7.056 eV per atom
- Symmetry: R-3m, No. 166
- Polymorph energy (0 for the lowest one): 75 meV/atom
- DFT formation energy: -0.075 eV per atom

# 10
This record from the Alexandria database describes crystalline AcCe2Te3 at its relaxed geometry. The functional is PBE-GGA.

Cell lengths 7.9495, 7.9495, 6.4936 Å; angles 113.53, 113.53, 33.18 degrees
Closest atoms and distances in Å follow each position.
Element x y z (fractional)
Ac1 0.0000 0.0000 0.0000  6 Te 3.25-3.32
Ce1 0.3367 0.3367 0.3390  6 Te 3.19-3.26
Ce2 0.6633 0.6633 0.6610  6 Te 3.19-3.26
Te1 0.0000 0.0000 0.5000  4 Ce 3.20, 2 Ac 3.25
Te2 0.3251 0.3251 0.8269  4 Ce 3.19-3.26, 2 Ac 3.32
Te3 0.6749 0.6749 0.1731  4 Ce 3.19-3.26, 2 Ac 3.32

- Uncorrected energy: -5.627 eV per atom
- Symmetry: C2/m, No. 12
- ΔE_f (raw): -1.393 eV per atom

# 11
This record from the Alexandria database describes crystalline CdIn2Br4 at its relaxed geometry. The functional is PBE-GGA.

Cell lengths 7.2222, 7.2222, 9.1675 Å; angles 118.70, 118.70, 34.04 degrees
Closest atoms and distances in Å follow each position.
Element x y z (fractional)
Cd1 0.0000 0.0000 0.0000  6 Br 2.83-2.84
In1 0.3273 0.3273 0.3454  5 Br 3.20-3.41
In2 0.6727 0.6727 0.6546  5 Br 3.20-3.41
Br1 0.0959 0.0959 0.3543  1 Cd 2.83
Br2 0.3527 0.3527 0.9644  2 Cd 2.84
Br3 0.6473 0.6473 0.0356  2 Cd 2.84
Br4 0.9041 0.9041 0.6457  1 Cd 2.83

- Uncorrected energy: -2.583 eV per atom
- Symmetry: C2/m, No. 12
- ΔE_f (raw): -0.714 eV per atom
- Polymorph energy (0 for the lowest one): 24 meV/atom

# 12
This record from the Alexandria database describes crystalline PmLuInRu at its relaxed geometry. The functional is PBE-GGA.

Cell lengths 5.0789, 5.0789, 5.0789 Å; angles 60.00, 60.00, 60.00 degrees
Closest atoms and distances in Å follow each position.
Element x y z (fractional)
Pm1 0.0000 0.0000 0.0000  4 In 3.11, 4 Ru 3.11
Lu1 0.5000 0.5000 0.5000  4 Ru 3.11, 4 In 3.11
In1 0.7500 0.7500 0.7500  4 Lu 3.11, 4 Pm 3.11
Ru1 0.2500 0.2500 0.2500  4 Lu 3.11, 4 Pm 3.11

- Uncorrected energy: -5.616 eV per atom
- Symmetry: F-43m, No. 216
- DFT formation energy: -0.294 eV per atom